DFT (PBE) results for a relaxed structure of PrYTc.

Calculated values
The formation energy is 8 kJ per mole of atoms. For the magnetization, the calculation gives 0.0000 μB/atom. The symmetry is I4mm (107).

Lattice parameters (Å, degrees): 3.524 3.524 6.955 104.67 104.67 90.00
Atoms (fractional coordinates):
Pr: 0.297 0.297 0.593
Tc: 0.664 0.664 0.327
Y: 0.040 0.040 0.079